First-principles (PBE with a Hubbard U) data for a relaxed structure of Mn2FeO4, as listed in Alexandria.

abc: 6.3357 6.3281 5.8313
angles: 62.65 62.52 54.83
Atoms (fractional coordinates):
Mn1 0.0000 0.0000 0.0000
Mn2 0.0000 0.0000 0.5000
Mn3 0.0000 0.5000 0.0000
Mn4 0.5000 0.0000 0.0000
Fe1 0.3750 0.3750 0.3750
Fe2 0.6250 0.6250 0.6250
O1 0.2177 0.7646 0.7582
O2 0.2354 0.7823 0.2405
O3 0.2405 0.2418 0.2354
O4 0.2418 0.2405 0.7823
O5 0.7582 0.7595 0.2177
O6 0.7595 0.7582 0.7646
O7 0.7646 0.2177 0.7595
O8 0.7823 0.2354 0.2418

The excess energy over the best structure of this formula in the dataset comes out at 0.0198 eV per atom. The volume comes out at 163 Å³ per cell. The crystal system is orthorhombic. The value obtained for the size of the total moment is 12.0 μB per formula unit.